No. 1
! Cr2Fe2Mo | the Alexandria database | GGA-PBE | relaxed; values from VASP
! Polymorph energy (0 for the lowest one), kJ/mol of atoms: 0.00
! DFT formation energy, eV per atom: 0.178
&SYSTEM
  ibrav = 0, nat = 10, ntyp = 3
/
ATOMIC_SPECIES
Cr 52.00 Cr.upf
Fe 55.84 Fe.upf
Mo 95.94 Mo.upf
ATOMIC_POSITIONS crystal
Cr 0.165 0.335 0.000
Cr 0.335 0.835 0.000
Cr 0.665 0.165 0.000
Cr 0.835 0.665 0.000
Fe 0.131 0.631 0.500
Fe 0.369 0.131 0.500
Fe 0.631 0.869 0.500
Fe 0.869 0.369 0.500
Mo 0.000 0.000 0.500
Mo 0.500 0.500 0.500
CELL_PARAMETERS angstrom
6.816 0.000 0.000
0.000 6.816 0.000
0.000 0.000 2.597


No. 2
! Cr2FeMo | the Alexandria database | GGA-PBE | relaxed; values from VASP
! Polymorph energy (0 for the lowest one), kJ/mol of atoms: 3.11
! DFT formation energy, eV per atom: 0.136
&SYSTEM
  ibrav = 0, nat = 4, ntyp = 3
/
ATOMIC_SPECIES
Cr 52.00 Cr.upf
Fe 55.84 Fe.upf
Mo 95.94 Mo.upf
ATOMIC_POSITIONS crystal
Cr 0.229 0.000 0.238
Cr 0.771 0.000 0.762
Fe 0.500 0.500 0.000
Mo 0.000 0.500 0.500
CELL_PARAMETERS angstrom
2.526 0.000 0.000
0.000 4.160 0.000
-0.785 0.000 4.832


No. 3
! CrFe3Mo2 | the Alexandria database | GGA-PBE | relaxed; values from VASP
! DFT formation energy, eV per atom: 0.000
&SYSTEM
  ibrav = 0, nat = 6, ntyp = 3
/
ATOMIC_SPECIES
Cr 52.00 Cr.upf
Fe 55.84 Fe.upf
Mo 95.94 Mo.upf
ATOMIC_POSITIONS crystal
Cr 0.000 0.000 0.000
Fe 0.000 0.000 0.500
Fe 0.000 0.500 0.000
Fe 0.500 0.000 0.000
Mo 0.376 0.376 0.376
Mo 0.624 0.624 0.624
CELL_PARAMETERS angstrom
2.380 1.374 3.791
-2.380 1.374 3.791
0.000 -2.748 3.791


No. 4
! Cr2FeMo | the Alexandria database | GGA-PBE | relaxed; values from VASP
! Polymorph energy (0 for the lowest one), kJ/mol of atoms: 2.53
! DFT formation energy, eV per atom: 0.130
&SYSTEM
  ibrav = 0, nat = 4, ntyp = 3
/
ATOMIC_SPECIES
Cr 52.00 Cr.upf
Fe 55.84 Fe.upf
Mo 95.94 Mo.upf
ATOMIC_POSITIONS crystal
Cr 0.000 0.000 0.000
Cr 0.235 0.500 0.770
Fe 0.742 0.500 0.244
Mo 0.479 0.000 0.503
CELL_PARAMETERS angstrom
2.532 0.000 0.000
0.000 4.127 0.000
-0.864 0.000 4.853


No. 5
! Cr2FeMo | the Alexandria database | GGA-PBE | relaxed; values from VASP
! Polymorph energy (0 for the lowest one), kJ/mol of atoms: 24.92
! DFT formation energy, eV per atom: 0.362
&SYSTEM
  ibrav = 0, nat = 12, ntyp = 3
/
ATOMIC_SPECIES
Cr 52.00 Cr.upf
Fe 55.84 Fe.upf
Mo 95.94 Mo.upf
ATOMIC_POSITIONS crystal
Cr 0.000 0.000 0.242
Cr 0.000 0.000 0.758
Cr 0.333 0.667 0.424
Cr 0.333 0.667 0.909
Cr 0.667 0.333 0.091
Cr 0.667 0.333 0.576
Fe 0.000 0.000 0.500
Fe 0.333 0.667 0.167
Fe 0.667 0.333 0.833
Mo 0.000 0.000 0.000
Mo 0.333 0.667 0.667
Mo 0.667 0.333 0.333
CELL_PARAMETERS angstrom
2.598 0.000 0.000
-1.299 2.250 0.000
0.000 0.000 26.121


No. 6
! Cr2FeMo | the Alexandria database | GGA-PBE | relaxed; values from VASP
! Polymorph energy (0 for the lowest one), kJ/mol of atoms: 0.00
! DFT formation energy, eV per atom: 0.104
&SYSTEM
  ibrav = 0, nat = 8, ntyp = 3
/
ATOMIC_SPECIES
Cr 52.00 Cr.upf
Fe 55.84 Fe.upf
Mo 95.94 Mo.upf
ATOMIC_POSITIONS crystal
Cr 0.000 0.000 0.000
Cr 0.000 0.500 0.234
Cr 0.500 0.000 0.234
Cr 0.500 0.500 0.000
Fe 0.000 0.000 0.472
Fe 0.500 0.500 0.472
Mo 0.000 0.500 0.735
Mo 0.500 0.000 0.735
CELL_PARAMETERS angstrom
2.986 0.000 0.000
0.000 4.158 0.000
0.000 0.000 8.200


No. 7
! Cr3FeMo | the Alexandria database | GGA-PBE | relaxed; values from VASP
! Polymorph energy (0 for the lowest one), kJ/mol of atoms: 0.00
! DFT formation energy, eV per atom: 1.159
&SYSTEM
  ibrav = 0, nat = 5, ntyp = 3
/
ATOMIC_SPECIES
Cr 52.00 Cr.upf
Fe 55.84 Fe.upf
Mo 95.94 Mo.upf
ATOMIC_POSITIONS crystal
Cr 0.000 0.000 0.500
Cr 0.000 0.500 0.000
Cr 0.500 0.000 0.000
Fe 0.000 0.000 0.000
Mo 0.500 0.500 0.500
CELL_PARAMETERS angstrom
4.145 0.000 0.000
0.000 4.145 0.000
0.000 0.000 4.145


No. 8
! Cr2FeMo | the Alexandria database | GGA-PBE | relaxed; values from VASP
! Polymorph energy (0 for the lowest one), kJ/mol of atoms: 3.97
! DFT formation energy, eV per atom: 0.145
&SYSTEM
  ibrav = 0, nat = 8, ntyp = 3
/
ATOMIC_SPECIES
Cr 52.00 Cr.upf
Fe 55.84 Fe.upf
Mo 95.94 Mo.upf
ATOMIC_POSITIONS crystal
Cr 0.250 0.250 0.000
Cr 0.250 0.750 0.000
Cr 0.750 0.250 0.000
Cr 0.750 0.750 0.000
Fe 0.000 0.000 0.500
Fe 0.500 0.500 0.500
Mo 0.000 0.500 0.500
Mo 0.500 0.000 0.500
CELL_PARAMETERS angstrom
5.093 0.000 0.000
0.000 8.356 0.000
-0.864 0.000 2.390


No. 9
! Cr2FeMo | the Alexandria database | GGA-PBE | relaxed; values from VASP
! Polymorph energy (0 for the lowest one), kJ/mol of atoms: 1.91
! DFT formation energy, eV per atom: 0.124
&SYSTEM
  ibrav = 0, nat = 8, ntyp = 3
/
ATOMIC_SPECIES
Cr 52.00 Cr.upf
Fe 55.84 Fe.upf
Mo 95.94 Mo.upf
ATOMIC_POSITIONS crystal
Cr 0.000 0.000 0.236
Cr 0.000 0.000 0.764
Cr 0.500 0.500 0.236
Cr 0.500 0.500 0.764
Fe 0.000 0.500 0.000
Fe 0.500 0.000 0.000
Mo 0.000 0.500 0.500
Mo 0.500 0.000 0.500
CELL_PARAMETERS angstrom
3.003 0.000 0.000
0.000 4.133 0.000
0.000 0.000 8.204


No. 10
! Cr2FeMo | the Alexandria database | GGA-PBE | relaxed; values from VASP
! Polymorph energy (0 for the lowest one), kJ/mol of atoms: 13.36
! DFT formation energy, eV per atom: 0.242
&SYSTEM
  ibrav = 0, nat = 4, ntyp = 3
/
ATOMIC_SPECIES
Cr 52.00 Cr.upf
Fe 55.84 Fe.upf
Mo 95.94 Mo.upf
ATOMIC_POSITIONS crystal
Cr 0.000 0.000 0.000
Cr 0.500 0.500 0.249
Fe 0.000 0.000 0.454
Mo 0.500 0.500 0.713
CELL_PARAMETERS angstrom
2.570 0.000 0.000
0.000 2.570 0.000
0.000 0.000 7.607


No. 11
! Cr2FeMo | the Alexandria database | GGA-PBE | relaxed; values from VASP
! Polymorph energy (0 for the lowest one), kJ/mol of atoms: 3.85
! DFT formation energy, eV per atom: 0.144
&SYSTEM
  ibrav = 0, nat = 4, ntyp = 3
/
ATOMIC_SPECIES
Cr 52.00 Cr.upf
Fe 55.84 Fe.upf
Mo 95.94 Mo.upf
ATOMIC_POSITIONS crystal
Cr 0.000 0.500 0.000
Cr 0.500 0.000 0.000
Fe 0.000 0.000 0.500
Mo 0.500 0.500 0.500
CELL_PARAMETERS angstrom
4.115 0.000 0.000
0.000 4.115 0.000
0.000 0.000 3.001


No. 12
! Cr2FeMo | the Alexandria database | GGA-PBE | relaxed; values from VASP
! Polymorph energy (0 for the lowest one), kJ/mol of atoms: 18.33
! DFT formation energy, eV per atom: 0.294
&SYSTEM
  ibrav = 0, nat = 8, ntyp = 3
/
ATOMIC_SPECIES
Cr 52.00 Cr.upf
Fe 55.84 Fe.upf
Mo 95.94 Mo.upf
ATOMIC_POSITIONS crystal
Cr 0.000 0.500 0.250
Cr 0.000 0.500 0.750
Cr 0.500 0.000 0.250
Cr 0.500 0.000 0.750
Fe 0.000 0.000 0.000
Fe 0.500 0.500 0.500
Mo 0.000 0.000 0.500
Mo 0.500 0.500 0.000
CELL_PARAMETERS angstrom
3.575 0.000 0.000
0.000 3.575 0.000
0.000 0.000 7.902


No. 13
! Cr4FeMo | the Alexandria database | GGA-PBE | relaxed; values from VASP
! DFT formation energy, eV per atom: 0.161
&SYSTEM
  ibrav = 0, nat = 6, ntyp = 3
/
ATOMIC_SPECIES
Cr 52.00 Cr.upf
Fe 55.84 Fe.upf
Mo 95.94 Mo.upf
ATOMIC_POSITIONS crystal
Cr 0.376 0.376 0.376
Cr 0.376 0.376 0.873
Cr 0.376 0.873 0.376
Cr 0.873 0.376 0.376
Fe 0.750 0.750 0.750
Mo 0.000 0.000 0.000
CELL_PARAMETERS angstrom
0.000 3.357 3.357
3.357 0.000 3.357
3.357 3.357 0.000


No. 14
! Cr3FeMo | the Alexandria database | GGA-PBE | relaxed; values from VASP
! Polymorph energy (0 for the lowest one), kJ/mol of atoms: 56.52
! DFT formation energy, eV per atom: 1.745
&SYSTEM
  ibrav = 0, nat = 5, ntyp = 3
/
ATOMIC_SPECIES
Cr 52.00 Cr.upf
Fe 55.84 Fe.upf
Mo 95.94 Mo.upf
ATOMIC_POSITIONS crystal
Cr 0.000 0.000 0.500
Cr 0.000 0.500 0.000
Cr 0.500 0.000 0.000
Fe 0.500 0.500 0.500
Mo 0.000 0.000 0.000
CELL_PARAMETERS angstrom
4.586 0.000 0.000
0.000 4.586 0.000
0.000 0.000 4.586


No. 15
! Cr2FeMo | the Alexandria database | GGA-PBE | relaxed; values from VASP
! Polymorph energy (0 for the lowest one), kJ/mol of atoms: 4.45
! DFT formation energy, eV per atom: 0.150
&SYSTEM
  ibrav = 0, nat = 16, ntyp = 3
/
ATOMIC_SPECIES
Cr 52.00 Cr.upf
Fe 55.84 Fe.upf
Mo 95.94 Mo.upf
ATOMIC_POSITIONS crystal
Cr 0.250 0.250 0.250
Cr 0.250 0.250 0.750
Cr 0.250 0.750 0.250
Cr 0.250 0.750 0.750
Cr 0.750 0.250 0.250
Cr 0.750 0.250 0.750
Cr 0.750 0.750 0.250
Cr 0.750 0.750 0.750
Fe 0.000 0.000 0.000
Fe 0.000 0.500 0.500
Fe 0.500 0.000 0.500
Fe 0.500 0.500 0.000
Mo 0.000 0.000 0.500
Mo 0.000 0.500 0.000
Mo 0.500 0.000 0.000
Mo 0.500 0.500 0.500
CELL_PARAMETERS angstrom
5.875 0.000 0.000
0.000 5.875 0.000
0.000 0.000 5.875


No. 16
! Cr2FeMo | the Alexandria database | GGA-PBE | relaxed; values from VASP
! Polymorph energy (0 for the lowest one), kJ/mol of atoms: 2.95
! DFT formation energy, eV per atom: 0.135
&SYSTEM
  ibrav = 0, nat = 4, ntyp = 3
/
ATOMIC_SPECIES
Cr 52.00 Cr.upf
Fe 55.84 Fe.upf
Mo 95.94 Mo.upf
ATOMIC_POSITIONS crystal
Cr 0.000 0.000 0.000
Cr 0.500 0.500 0.000
Fe 0.000 0.500 0.500
Mo 0.500 0.000 0.500
CELL_PARAMETERS angstrom
2.974 0.000 0.000
0.000 4.107 0.000
0.000 0.000 4.146


No. 17
! Cr2FeMo | the Alexandria database | GGA-PBE | relaxed; values from VASP
! Polymorph energy (0 for the lowest one), kJ/mol of atoms: 3.06
! DFT formation energy, eV per atom: 0.136
&SYSTEM
  ibrav = 0, nat = 8, ntyp = 3
/
ATOMIC_SPECIES
Cr 52.00 Cr.upf
Fe 55.84 Fe.upf
Mo 95.94 Mo.upf
ATOMIC_POSITIONS crystal
Cr 0.000 0.000 0.000
Cr 0.000 0.500 0.264
Cr 0.500 0.000 0.764
Cr 0.500 0.500 0.500
Fe 0.000 0.000 0.512
Fe 0.500 0.500 0.012
Mo 0.000 0.500 0.753
Mo 0.500 0.000 0.253
CELL_PARAMETERS angstrom
2.991 0.000 0.000
0.000 4.161 0.000
0.000 0.000 8.134


No. 18
! CrFeMo2N | the Alexandria database | GGA-PBE | relaxed; values from VASP
! Uncorrected formation energy, eV/atom: 2.21
&SYSTEM
  ibrav = 0, nat = 5, ntyp = 4
/
ATOMIC_SPECIES
Cr 52.00 Cr.upf
Fe 55.84 Fe.upf
Mo 95.94 Mo.upf
N 14.01 N.upf
ATOMIC_POSITIONS crystal
Cr 0.000 0.000 0.000
Fe 0.000 0.000 0.500
Mo 0.000 0.500 0.000
Mo 0.500 0.000 0.000
N 0.500 0.500 0.500
CELL_PARAMETERS angstrom
4.429 0.000 0.000
0.000 4.429 0.000
0.000 0.000 4.200


No. 19
! NaCrFeMo2 | the Alexandria database | GGA-PBE | relaxed; values from VASP
! DFT formation energy, eV per atom: 1.357
&SYSTEM
  ibrav = 0, nat = 5, ntyp = 4
/
ATOMIC_SPECIES
Na 22.99 Na.upf
Cr 52.00 Cr.upf
Fe 55.84 Fe.upf
Mo 95.94 Mo.upf
ATOMIC_POSITIONS crystal
Na 0.000 0.000 0.000
Cr 0.500 0.500 0.500
Fe 0.500 0.500 0.000
Mo 0.000 0.500 0.500
Mo 0.500 0.000 0.500
CELL_PARAMETERS angstrom
4.527 0.000 0.000
0.000 4.527 0.000
0.000 0.000 4.355


No. 20
! NbCrFeMo | the Alexandria database | GGA-PBE | relaxed; values from VASP
! DFT formation energy, eV per atom: 0.068
&SYSTEM
  ibrav = 0, nat = 16, ntyp = 4
/
ATOMIC_SPECIES
Nb 92.91 Nb.upf
Cr 52.00 Cr.upf
Fe 55.84 Fe.upf
Mo 95.94 Mo.upf
ATOMIC_POSITIONS crystal
Nb 0.000 0.000 0.000
Nb 0.000 0.500 0.500
Nb 0.500 0.000 0.500
Nb 0.500 0.500 0.000
Cr 0.250 0.250 0.750
Cr 0.250 0.750 0.250
Cr 0.750 0.250 0.250
Cr 0.750 0.750 0.750
Fe 0.250 0.250 0.250
Fe 0.250 0.750 0.750
Fe 0.750 0.250 0.750
Fe 0.750 0.750 0.250
Mo 0.000 0.000 0.500
Mo 0.000 0.500 0.000
Mo 0.500 0.000 0.000
Mo 0.500 0.500 0.500
CELL_PARAMETERS angstrom
6.100 0.000 0.000
0.000 6.100 0.000
0.000 0.000 6.100


| no. | Fermi-level density of states (states/eV per atom) | total magnetic moment (Bohr magnetons per cell) | uncorrected energy (eV/cell) |
| --- | --- | --- | --- |
| 1 | 1.15 | 0.00 | -92.23 |
| 2 | 0.93 | 2.17 | -38.00 |
| 3 | 1.05 | 1.63 | -56.67 |
| 4 | 0.95 | 2.18 | -38.02 |
| 5 | 0.95 | 1.68 | -111.27 |
| 6 | 0.81 | 4.34 | -76.25 |
| 7 | 1.23 | 0.00 | -42.37 |
| 8 | 1.14 | 4.66 | -75.92 |
| 9 | 0.84 | 4.07 | -76.09 |
| 10 | 1.16 | 0.00 | -37.57 |
| 11 | 1.26 | 2.22 | -37.96 |
| 12 | 1.51 | 2.43 | -74.73 |
| 13 | 1.36 | 3.49 | -56.82 |
| 14 | 1.87 | 11.42 | -39.44 |
| 15 | 0.23 | 8.06 | -151.76 |
| 16 | 1.02 | 2.02 | -38.00 |
| 17 | 1.01 | 4.22 | -76.00 |
| 18 | 1.07 | 2.21 | -37.03 |
| 19 | 1.56 | 0.01 | -34.28 |
| 20 | 0.99 | 5.27 | -154.87 |